Zr2ScTaH | PBE | relaxed

DOS(E_F) ... 6.3 states/eV per cell
Total magnetization ... 0.000 μB/f.u.
Calculated volume ... 89 Å³/cell
Calculated total energy ... -7.738 eV/atom

Structure (CIF):
```
data_Zr2ScTaH
_cell_length_a 4.7319
_cell_length_b 4.7319
_cell_length_c 3.9589
_cell_angle_alpha 90.00
_cell_angle_beta 90.00
_cell_angle_gamma 90.00
_symmetry_space_group_name_H-M 'P 1'
_symmetry_Int_Tables_number 1
loop_
_symmetry_equiv_pos_as_xyz
'x,y,z'
loop_
_atom_site_label
_atom_site_fract_x
_atom_site_fract_y
_atom_site_fract_z
Zr1 0.0000 0.5000 0.0000
Zr2 0.5000 0.0000 0.0000
Sc1 0.0000 0.0000 0.5000
Ta1 0.5000 0.5000 0.5000
H1 0.5000 0.5000 0.0000
```

---

CsTi2O | PBE | relaxed

DOS(E_F) ... 8.1 states/eV per cell
Uncorrected formation energy ... -10.4 kcal/mol of atoms
Total magnetization ... 0.008 μB/f.u.
Calculated volume ... 196 Å³/cell
Calculated total energy ... -5.853 eV/atom

Structure (CIF):
```
data_CsTi2O
_cell_length_a 6.5242
_cell_length_b 6.5242
_cell_length_c 6.5242
_cell_angle_alpha 60.00
_cell_angle_beta 60.00
_cell_angle_gamma 60.00
_symmetry_space_group_name_H-M 'P 1'
_symmetry_Int_Tables_number 1
loop_
_symmetry_equiv_pos_as_xyz
'x,y,z'
loop_
_atom_site_label
_atom_site_fract_x
_atom_site_fract_y
_atom_site_fract_z
Cs1 0.1250 0.1250 0.1250
Cs2 0.8750 0.8750 0.8750
Ti1 0.0000 0.5000 0.5000
Ti2 0.5000 0.0000 0.5000
Ti3 0.5000 0.5000 0.0000
Ti4 0.5000 0.5000 0.5000
O1 0.3750 0.3750 0.3750
O2 0.6250 0.6250 0.6250
```

---

CrPtC2 | PBE | relaxed

DOS(E_F) ... 2.2 states/eV per cell
Total magnetization ... 0.000 μB/f.u.
Calculated volume ... 38 Å³/cell
E_form ... 1.36 eV/atom
Calculated total energy ... -7.165 eV/atom

Structure (CIF):
```
data_CrPtC2
_cell_length_a 3.7647
_cell_length_b 3.7647
_cell_length_c 3.7647
_cell_angle_alpha 60.00
_cell_angle_beta 60.00
_cell_angle_gamma 60.00
_symmetry_space_group_name_H-M 'P 1'
_symmetry_Int_Tables_number 1
loop_
_symmetry_equiv_pos_as_xyz
'x,y,z'
loop_
_atom_site_label
_atom_site_fract_x
_atom_site_fract_y
_atom_site_fract_z
Cr1 0.0000 0.0000 0.0000
Pt1 0.5000 0.5000 0.5000
C1 0.2500 0.2500 0.2500
C2 0.7500 0.7500 0.7500
```

---

PuTl2I6 | PBE | relaxed

DOS(E_F) ... 18.0 states/eV per cell
Uncorrected formation energy ... -17.6 kcal/mol of atoms
Total magnetization ... 3.999 μB/f.u.
Calculated volume ... 913 Å³/cell
Calculated total energy ... -3.917 eV/atom

Structure (CIF):
```
data_PuTl2I6
_cell_length_a 7.8967
_cell_length_b 7.8967
_cell_length_c 14.6390
_cell_angle_alpha 90.00
_cell_angle_beta 90.00
_cell_angle_gamma 90.00
_symmetry_space_group_name_H-M 'P 1'
_symmetry_Int_Tables_number 1
loop_
_symmetry_equiv_pos_as_xyz
'x,y,z'
loop_
_atom_site_label
_atom_site_fract_x
_atom_site_fract_y
_atom_site_fract_z
Pu1 0.0000 0.0000 0.0000
Pu2 0.5000 0.5000 0.5000
Tl1 0.0000 0.0000 0.3330
Tl2 0.0000 0.0000 0.6670
Tl3 0.5000 0.5000 0.1670
Tl4 0.5000 0.5000 0.8330
I1 0.1876 0.1876 0.1485
I2 0.1876 0.1876 0.8515
I3 0.2310 0.2310 0.5000
I4 0.2690 0.7310 0.0000
I5 0.3124 0.6876 0.3515
I6 0.3124 0.6876 0.6485
I7 0.6876 0.3124 0.3515
I8 0.6876 0.3124 0.6485
I9 0.7310 0.2690 0.0000
I10 0.7690 0.7690 0.5000
I11 0.8124 0.8124 0.1485
I12 0.8124 0.8124 0.8515
```

---

Cu2PdCl6 | PBE | relaxed

DOS(E_F) ... 4.0 states/eV per cell
Uncorrected formation energy ... -10.6 kcal/mol of atoms
Total magnetization ... 0.000 μB/f.u.
Calculated volume ... 488 Å³/cell
Calculated total energy ... -3.178 eV/atom

Structure (CIF):
```
data_Cu2PdCl6
_cell_length_a 8.0406
_cell_length_b 8.0406
_cell_length_c 8.0730
_cell_angle_alpha 103.22
_cell_angle_beta 103.22
_cell_angle_gamma 78.21
_symmetry_space_group_name_H-M 'P 1'
_symmetry_Int_Tables_number 1
loop_
_symmetry_equiv_pos_as_xyz
'x,y,z'
loop_
_atom_site_label
_atom_site_fract_x
_atom_site_fract_y
_atom_site_fract_z
Cu1 0.0820 0.2898 0.1426
Cu2 0.2898 0.0820 0.6426
Cu3 0.7102 0.9180 0.3574
Cu4 0.9180 0.7102 0.8574
Pd1 0.2379 0.7621 0.2500
Pd2 0.7621 0.2379 0.7500
Cl1 0.0745 0.2210 0.7883
Cl2 0.1974 0.7255 0.9438
Cl3 0.2210 0.0745 0.2883
Cl4 0.2745 0.8026 0.5562
Cl5 0.2812 0.4512 0.2338
Cl6 0.4512 0.2812 0.7338
Cl7 0.5488 0.7188 0.2662
Cl8 0.7188 0.5488 0.7662
Cl9 0.7255 0.1974 0.4438
Cl10 0.7790 0.9255 0.7117
Cl11 0.8026 0.2745 0.0562
Cl12 0.9255 0.7790 0.2117
```

---

HfTi2Nb | PBE | relaxed

DOS(E_F) ... 5.1 states/eV per cell
Total magnetization ... 0.000 μB/f.u.
Calculated volume ... 75 Å³/cell
E_form ... 0.11 eV/atom
Calculated total energy ... -8.847 eV/atom

Structure (CIF):
```
data_HfTi2Nb
_cell_length_a 4.2600
_cell_length_b 4.2600
_cell_length_c 4.1458
_cell_angle_alpha 90.00
_cell_angle_beta 90.00
_cell_angle_gamma 90.00
_symmetry_space_group_name_H-M 'P 1'
_symmetry_Int_Tables_number 1
loop_
_symmetry_equiv_pos_as_xyz
'x,y,z'
loop_
_atom_site_label
_atom_site_fract_x
_atom_site_fract_y
_atom_site_fract_z
Hf1 0.0000 0.0000 0.0000
Ti1 0.0000 0.5000 0.5000
Ti2 0.5000 0.0000 0.5000
Nb1 0.5000 0.5000 0.0000
```

---

Er4Tm3Se8 | PBE | relaxed

DOS(E_F) ... 5.9 states/eV per cell
Uncorrected formation energy ... -41.1 kcal/mol of atoms
Total magnetization ... 0.000 μB/f.u.
Calculated volume ... 366 Å³/cell
Calculated total energy ... -5.752 eV/atom

Structure (CIF):
```
data_Er4Tm3Se8
_cell_length_a 8.0255
_cell_length_b 8.0255
_cell_length_c 8.0250
_cell_angle_alpha 119.98
_cell_angle_beta 119.98
_cell_angle_gamma 90.03
_symmetry_space_group_name_H-M 'P 1'
_symmetry_Int_Tables_number 1
loop_
_symmetry_equiv_pos_as_xyz
'x,y,z'
loop_
_atom_site_label
_atom_site_fract_x
_atom_site_fract_y
_atom_site_fract_z
Er1 0.0000 0.0000 0.0000
Er2 0.0000 0.5000 0.0000
Er3 0.5000 0.0000 0.0000
Er4 0.5000 0.5000 0.5000
Tm1 0.0000 0.5000 0.5000
Tm2 0.5000 0.0000 0.5000
Tm3 0.5000 0.5000 0.0000
Se1 0.2460 0.7540 0.5000
Se2 0.2465 0.2465 0.5012
Se3 0.2466 0.2466 0.9920
Se4 0.2506 0.7494 0.0000
Se5 0.7494 0.2506 0.0000
Se6 0.7534 0.7534 0.0080
Se7 0.7535 0.7535 0.4988
Se8 0.7540 0.2460 0.5000
```

---

BeTl2Ag | PBE | relaxed

DOS(E_F) ... 1.2 states/eV per cell
Total magnetization ... 0.000 μB/f.u.
Calculated volume ... 86 Å³/cell
E_form ... 0.34 eV/atom
Calculated total energy ... -2.486 eV/atom

Structure (CIF):
```
data_BeTl2Ag
_cell_length_a 3.2131
_cell_length_b 4.3673
_cell_length_c 6.5317
_cell_angle_alpha 70.47
_cell_angle_beta 89.01
_cell_angle_gamma 87.84
_symmetry_space_group_name_H-M 'P 1'
_symmetry_Int_Tables_number 1
loop_
_symmetry_equiv_pos_as_xyz
'x,y,z'
loop_
_atom_site_label
_atom_site_fract_x
_atom_site_fract_y
_atom_site_fract_z
Be1 0.0000 0.0000 0.0000
Tl1 0.0011 0.7666 0.4577
Tl2 0.5026 0.4680 0.0638
Ag1 0.5014 0.1477 0.7002
```

---

NaGd2N | PBE | relaxed

DOS(E_F) ... 3.8 states/eV per cell
Uncorrected formation energy ... -14.9 kcal/mol of atoms
Total magnetization ... 15.235 μB/f.u.
Calculated volume ... 105 Å³/cell
Calculated total energy ... -10.099 eV/atom

Structure (CIF):
```
data_NaGd2N
_cell_length_a 9.9443
_cell_length_b 9.9443
_cell_length_c 9.9443
_cell_angle_alpha 20.42
_cell_angle_beta 20.42
_cell_angle_gamma 20.42
_symmetry_space_group_name_H-M 'P 1'
_symmetry_Int_Tables_number 1
loop_
_symmetry_equiv_pos_as_xyz
'x,y,z'
loop_
_atom_site_label
_atom_site_fract_x
_atom_site_fract_y
_atom_site_fract_z
Na1 0.0000 0.0000 0.0000
Gd1 0.1208 0.1208 0.1208
Gd2 0.8792 0.8792 0.8792
N1 0.5000 0.5000 0.5000
```

---

UNi2B2C | PBE | relaxed

DOS(E_F) ... 6.9 states/eV per cell
Total magnetization ... 1.104 μB/f.u.
Calculated volume ... 64 Å³/cell
E_form ... -0.38 eV/atom
Calculated total energy ... -7.952 eV/atom

Structure (CIF):
```
data_UNi2B2C
_cell_length_a 5.8163
_cell_length_b 5.8163
_cell_length_c 5.8163
_cell_angle_alpha 145.10
_cell_angle_beta 145.10
_cell_angle_gamma 50.18
_symmetry_space_group_name_H-M 'P 1'
_symmetry_Int_Tables_number 1
loop_
_symmetry_equiv_pos_as_xyz
'x,y,z'
loop_
_atom_site_label
_atom_site_fract_x
_atom_site_fract_y
_atom_site_fract_z
U1 0.0000 0.0000 0.0000
Ni1 0.2500 0.7500 0.5000
Ni2 0.7500 0.2500 0.5000
B1 0.3568 0.3568 0.0000
B2 0.6432 0.6432 0.0000
C1 0.5000 0.5000 0.0000
```

---

HoSc2Ga6 | PBE | relaxed

DOS(E_F) ... 2.1 states/eV per cell
Total magnetization ... 0.000 μB/f.u.
Calculated volume ... 167 Å³/cell
E_form ... -0.56 eV/atom
Calculated total energy ... -4.498 eV/atom

Structure (CIF):
```
data_HoSc2Ga6
_cell_length_a 7.6134
_cell_length_b 7.6134
_cell_length_c 3.3285
_cell_angle_alpha 90.00
_cell_angle_beta 90.00
_cell_angle_gamma 120.00
_symmetry_space_group_name_H-M 'P 1'
_symmetry_Int_Tables_number 1
loop_
_symmetry_equiv_pos_as_xyz
'x,y,z'
loop_
_atom_site_label
_atom_site_fract_x
_atom_site_fract_y
_atom_site_fract_z
Ho1 0.0000 0.0000 0.0000
Sc1 0.3333 0.6667 0.0000
Sc2 0.6667 0.3333 0.0000
Ga1 0.0000 0.3364 0.5000
Ga2 0.0000 0.6636 0.5000
Ga3 0.3364 0.0000 0.5000
Ga4 0.3364 0.3364 0.5000
Ga5 0.6636 0.0000 0.5000
Ga6 0.6636 0.6636 0.5000
```

---

TbEr4Th2 | PBE | relaxed

DOS(E_F) ... 11.3 states/eV per cell
Total magnetization ... 0.000 μB/f.u.
Calculated volume ... 222 Å³/cell
E_form ... 0.12 eV/atom
Calculated total energy ... -5.273 eV/atom

Structure (CIF):
```
data_TbEr4Th2
_cell_length_a 3.4582
_cell_length_b 8.5013
_cell_length_c 8.6173
_cell_angle_alpha 62.47
_cell_angle_beta 89.38
_cell_angle_gamma 82.49
_symmetry_space_group_name_H-M 'P 1'
_symmetry_Int_Tables_number 1
loop_
_symmetry_equiv_pos_as_xyz
'x,y,z'
loop_
_atom_site_label
_atom_site_fract_x
_atom_site_fract_y
_atom_site_fract_z
Tb1 0.0000 0.0000 0.0000
Er1 0.0367 0.4498 0.7162
Er2 0.3751 0.8494 0.4202
Er3 0.6249 0.1506 0.5798
Er4 0.9633 0.5502 0.2838
Th1 0.4142 0.7190 0.8679
Th2 0.5858 0.2810 0.1321
```